Record 1
Entry from Alexandria via LeMat-Bulk: a relaxed Zr2Sn2Te crystal (PBE-GGA).

Output
Space-group type: P4/mbm, No. 127
E_form (uncorrected) in meV per atom: -437
Polymorph energy (0 for the lowest one) in eV per atom: 0.000
Crystal system: tetragonal
Total magnetization in μB/f.u.: 0.0

```
data_Zr2Sn2Te
_chemical_formula_sum 'Zr4 Sn4 Te2'
_space_group_name_H-M_alt 'P 1'
_space_group_IT_number 1
_space_group_name_Hall 'P 1'
_cell_length_a 7.787
_cell_length_b 7.787
_cell_length_c 4.070
_cell_angle_alpha 90.00
_cell_angle_beta 90.00
_cell_angle_gamma 90.00
loop_
_atom_site_label
_atom_site_type_symbol
_atom_site_fract_x
_atom_site_fract_y
_atom_site_fract_z
Te1 Te 0.000 0.000 0.000
Te2 Te 0.500 0.500 0.000
Sn1 Sn 0.136 0.636 0.500
Sn2 Sn 0.636 0.864 0.500
Sn3 Sn 0.864 0.364 0.500
Sn4 Sn 0.364 0.136 0.500
Zr1 Zr 0.337 0.837 0.000
Zr2 Zr 0.837 0.663 0.000
Zr3 Zr 0.663 0.163 0.000
Zr4 Zr 0.163 0.337 0.000
```

***

Record 2
Entry from Alexandria via LeMat-Bulk: a relaxed Ce3SmIn2 crystal (PBE-GGA).

Output
Space-group type: P-1, No. 2
ΔH_f (0 K) in eV/atom: -0.251
Crystal system: triclinic
Total magnetization in μB/f.u.: 1.1

```
data_Ce3SmIn2
_chemical_formula_sum 'Ce6 Sm2 In4'
_space_group_name_H-M_alt 'P 1'
_space_group_IT_number 1
_space_group_name_Hall 'P 1'
_cell_length_a 11.485
_cell_length_b 5.770
_cell_length_c 6.895
_cell_angle_alpha 54.88
_cell_angle_beta 102.71
_cell_angle_gamma 77.44
loop_
_atom_site_label
_atom_site_type_symbol
_atom_site_fract_x
_atom_site_fract_y
_atom_site_fract_z
Ce1 Ce 0.684 0.770 0.919
Ce2 Ce 0.148 0.782 0.948
Ce3 Ce 0.316 0.230 0.081
Ce4 Ce 0.852 0.218 0.052
Ce5 Ce 0.992 0.476 0.769
Ce6 Ce 0.008 0.524 0.231
Sm1 Sm 0.347 0.118 0.641
Sm2 Sm 0.653 0.882 0.359
In1 In 0.826 0.186 0.557
In2 In 0.508 0.489 0.731
In3 In 0.174 0.814 0.443
In4 In 0.492 0.511 0.269
```

***

Record 3
Entry from Alexandria via LeMat-Bulk: a relaxed Pm2YCd crystal (PBE-GGA).

Output
Space-group type: P4/mmm, No. 123
Polymorph energy (0 for the lowest one) in eV per atom: 0.018
ΔH_f (0 K) in eV/atom: -0.140
Crystal system: tetragonal
Total magnetization in μB/f.u.: 0.0

```
data_Pm2YCd
_chemical_formula_sum 'Pm2 Y1 Cd1'
_space_group_name_H-M_alt 'P 1'
_space_group_IT_number 1
_space_group_name_Hall 'P 1'
_cell_length_a 3.705
_cell_length_b 3.705
_cell_length_c 9.019
_cell_angle_alpha 90.00
_cell_angle_beta 90.00
_cell_angle_gamma 90.00
loop_
_atom_site_label
_atom_site_type_symbol
_atom_site_fract_x
_atom_site_fract_y
_atom_site_fract_z
Y1 Y 0.500 0.500 0.500
Cd1 Cd 0.500 0.500 0.000
Pm1 Pm 0.000 0.000 0.775
Pm2 Pm 0.000 0.000 0.225
```

***

Record 4
Entry from Alexandria via LeMat-Bulk: a relaxed CuIrRh3 crystal (PBE-GGA).

Output
Space-group type: Pm-3m, No. 221
Polymorph energy (0 for the lowest one) in eV per atom: 1.443
ΔH_f (0 K) in eV/atom: 1.479
Crystal system: cubic
Total magnetization in μB/f.u.: 0.0

```
data_CuIrRh3
_chemical_formula_sum 'Cu1 Ir1 Rh3'
_space_group_name_H-M_alt 'P 1'
_space_group_IT_number 1
_space_group_name_Hall 'P 1'
_cell_length_a 4.710
_cell_length_b 4.710
_cell_length_c 4.710
_cell_angle_alpha 90.00
_cell_angle_beta 90.00
_cell_angle_gamma 90.00
loop_
_atom_site_label
_atom_site_type_symbol
_atom_site_fract_x
_atom_site_fract_y
_atom_site_fract_z
Ir1 Ir 0.000 0.000 0.000
Rh1 Rh 0.000 0.500 0.000
Rh2 Rh 0.000 0.000 0.500
Rh3 Rh 0.500 0.000 0.000
Cu1 Cu 0.500 0.500 0.500
```